(1)
Pa2SbP | PBE-GGA | relaxed

The space group is P4/mmm (No. 123) and the conventional cell measures 3.528, 3.528 and 7.277 Å, with angles of 90.00, 90.00 and 90.00 degrees. Symmetry generates all atoms from Pa at (0.000, 0.000, 0.227), Sb at (0.500, 0.500, 0.500) and P at (0.500, 0.500, 0.000).

The value obtained for the electronic total energy is -7.794 eV/atom. The calculation puts the spin magnetization at 0.0009 μB/atom. The value obtained for the density of states at the Fermi level is 6.41 states/eV/f.u. As for the energy above the most stable polymorph in this dataset: 231 meV/atom. The formation energy without anion corrections comes out at -64 kJ/mol of atoms.

(2)
PaSbP | PBE-GGA | relaxed

The space group is P4/nmm (No. 129, origin choice 2) and the conventional cell measures 4.090, 4.090 and 8.307 Å, with angles of 90.00, 90.00 and 90.00 degrees. Symmetry generates all atoms from Pa at (0.250, 0.250, 0.189), Sb at (0.250, 0.750, 0.500) and P at (0.250, 0.250, 0.857).

The value obtained for the electronic total energy is -7.168 eV/atom. The calculation puts the spin magnetization at 0.0005 μB/atom. The value obtained for the density of states at the Fermi level is 2.86 states/eV/f.u. As for the energy above the most stable polymorph in this dataset: 0 meV/atom. The formation energy without anion corrections comes out at -80 kJ/mol of atoms.

(3)
PaSbP | PBE-GGA | relaxed

The space group is P-6m2 (No. 187) and the conventional cell measures 4.5886, 4.5886 and 4.0915 Å, with angles of 90.00, 90.00 and 120.00 degrees. Symmetry generates all atoms from Pa at (0.0000, 0.0000, 0.0000), Sb at (0.6667, 0.3333, 0.5000) and P at (0.3333, 0.6667, 0.0000).

The value obtained for the electronic total energy is -6.814 eV/atom. The calculation puts the spin magnetization at 0.0000 μB/atom. The value obtained for the density of states at the Fermi level is 2.84 states/eV/f.u. As for the energy above the most stable polymorph in this dataset: 354 meV/atom. The formation energy without anion corrections comes out at -45 kJ/mol of atoms.

(4)
PaSbP | PBE-GGA | relaxed

The space group is I4mm (No. 107) and the conventional cell measures 3.595, 3.595 and 10.898 Å, with angles of 90.00, 90.00 and 90.00 degrees. Symmetry generates all atoms from Pa at (0.000, 0.000, 0.000), Sb at (0.000, 0.000, 0.298) and P at (0.000, 0.000, 0.604).

The value obtained for the electronic total energy is -6.867 eV/atom. The calculation puts the spin magnetization at 0.0000 μB/atom. The value obtained for the density of states at the Fermi level is 2.77 states/eV/f.u. As for the energy above the most stable polymorph in this dataset: 301 meV/atom. The formation energy without anion corrections comes out at -51 kJ/mol of atoms.

(5)
Pa3Sb2P | PBE-GGA | relaxed

The space group is C2/m (No. 12) and the conventional cell measures 7.273, 12.588 and 7.397 Å, with angles of 90.00, 109.13 and 90.00 degrees. Symmetry generates all atoms from Pa at (0.210, 0.000, 0.212), Pa at (0.245, 0.179, 0.775), Sb at (0.000, 0.000, 0.500), Sb at (0.000, 0.347, 0.500), Sb at (0.000, 0.500, 0.000) and P at (0.000, 0.170, 0.000).

The value obtained for the electronic total energy is -7.750 eV/atom. The calculation puts the spin magnetization at 0.0000 μB/atom. The value obtained for the density of states at the Fermi level is 10.33 states/eV/f.u. The formation energy without anion corrections comes out at -70 kJ/mol of atoms.

(6)
Pa2SbP | PBE-GGA | relaxed

The space group is R-3m (No. 166, hexagonal axes) and the conventional cell measures 4.0826, 4.0826 and 21.1308 Å, with angles of 90.00, 90.00 and 120.00 degrees. Symmetry generates all atoms from Pa at (0.0000, 0.0000, 0.2372), Sb at (0.0000, 0.0000, 0.0000) and P at (0.0000, 0.0000, 0.5000).

The value obtained for the electronic total energy is -8.024 eV/atom. The calculation puts the spin magnetization at 0.0005 μB/atom. The value obtained for the density of states at the Fermi level is 6.92 states/eV/f.u. As for the energy above the most stable polymorph in this dataset: 0 meV/atom. The formation energy without anion corrections comes out at -86 kJ/mol of atoms.

(7)
Pa4Sb2PSe | PBE-GGA | relaxed

The space group is P2/m (No. 10) and the conventional cell measures 7.236, 4.162 and 7.300 Å, with angles of 90.00, 109.14 and 90.00 degrees. Symmetry generates all atoms from Pa at (0.229, 0.000, 0.213), Pa at (0.252, 0.500, 0.782), Sb at (0.000, 0.000, 0.500), Sb at (0.500, 0.500, 0.500), P at (0.000, 0.500, 0.000) and Se at (0.500, 0.000, 0.000).

The value obtained for the electronic total energy is -7.755 eV/atom. The calculation puts the spin magnetization at 0.0001 μB/atom. The value obtained for the density of states at the Fermi level is 14.37 states/eV/f.u. The formation energy without anion corrections comes out at -83 kJ/mol of atoms.

(8)
Pa4SbPSe2 | PBE-GGA | relaxed

The space group is P2/m (No. 10) and the conventional cell measures 7.034, 4.145 and 7.236 Å, with angles of 90.00, 109.76 and 90.00 degrees. Symmetry generates all atoms from Pa at (0.240, 0.000, 0.223), Pa at (0.258, 0.500, 0.775), Sb at (0.500, 0.500, 0.500), P at (0.500, 0.000, 0.000), Se at (0.000, 0.000, 0.500) and Se at (0.000, 0.500, 0.000).

The value obtained for the electronic total energy is -7.832 eV/atom. The calculation puts the spin magnetization at 0.0602 μB/atom. The value obtained for the density of states at the Fermi level is 14.90 states/eV/f.u. The formation energy without anion corrections comes out at -99 kJ/mol of atoms.

(9)
ScPaP | PBE-GGA | relaxed

The space group is P-6m2 (No. 187) and the conventional cell measures 4.4884, 4.4884 and 3.6244 Å, with angles of 90.00, 90.00 and 120.00 degrees. Symmetry generates all atoms from Sc at (0.0000, 0.0000, 0.0000), Pa at (0.6667, 0.3333, 0.5000) and P at (0.3333, 0.6667, 0.0000).

The value obtained for the electronic total energy is -7.513 eV/atom. The calculation puts the spin magnetization at 0.5444 μB/atom. The value obtained for the density of states at the Fermi level is 5.01 states/eV/f.u. The formation energy from the elements comes out at -0.43 eV per atom. As for the energy above the most stable polymorph in this dataset: 123 meV/atom.

(10)
ScPaP2 | PBE-GGA | relaxed

The space group is I4_1/amd (No. 141, origin choice 2) and the conventional cell measures 5.502, 5.502 and 10.924 Å, with angles of 90.00, 90.00 and 90.00 degrees. Symmetry generates all atoms from Sc at (0.000, 0.250, 0.375), Pa at (0.000, 0.250, 0.875) and P at (0.000, 0.250, 0.130).

The value obtained for the electronic total energy is -8.036 eV/atom. The calculation puts the spin magnetization at 0.0005 μB/atom. The value obtained for the density of states at the Fermi level is 4.48 states/eV/f.u. The formation energy from the elements comes out at -1.37 eV per atom. As for the energy above the most stable polymorph in this dataset: 0 meV/atom.

(11)
ScPaP2 | PBE-GGA | relaxed

The space group is R3m (No. 160, hexagonal axes) and the conventional cell measures 3.7631, 3.7631 and 20.1477 Å, with angles of 90.00, 90.00 and 120.00 degrees. Symmetry generates all atoms from Sc at (0.0000, 0.0000, 0.0000), Pa at (0.0000, 0.0000, 0.8269), P at (0.0000, 0.0000, 0.4068) and P at (0.0000, 0.0000, 0.5846).

The value obtained for the electronic total energy is -7.916 eV/atom. The calculation puts the spin magnetization at 0.0000 μB/atom. The value obtained for the density of states at the Fermi level is 2.34 states/eV/f.u. The formation energy from the elements comes out at -1.25 eV per atom. As for the energy above the most stable polymorph in this dataset: 120 meV/atom.

(12)
ScPaP2 | PBE-GGA | relaxed

The space group is R-3m (No. 166, hexagonal axes) and the conventional cell measures 4.1296, 4.1296 and 23.0285 Å, with angles of 90.00, 90.00 and 120.00 degrees. Symmetry generates all atoms from Sc at (0.0000, 0.0000, 0.0000), Pa at (0.0000, 0.0000, 0.5000) and P at (0.0000, 0.0000, 0.1082).

The value obtained for the electronic total energy is -7.171 eV/atom. The calculation puts the spin magnetization at 0.0004 μB/atom. The value obtained for the density of states at the Fermi level is 4.62 states/eV/f.u. The formation energy from the elements comes out at -0.51 eV per atom. As for the energy above the most stable polymorph in this dataset: 865 meV/atom.

(13)
ScPa5P6 | PBE-GGA | relaxed

The space group is C2/m (No. 12) and the conventional cell measures 6.822, 11.821 and 6.816 Å, with angles of 90.00, 109.55 and 90.00 degrees. Symmetry generates all atoms from Sc at (0.000, 0.000, 0.000), Pa at (0.000, 0.168, 0.500), Pa at (0.000, 0.334, 0.000), Pa at (0.000, 0.500, 0.500), P at (0.243, 0.000, 0.754) and P at (0.244, 0.163, 0.244).

The value obtained for the electronic total energy is -8.533 eV/atom. The calculation puts the spin magnetization at 0.0000 μB/atom. The value obtained for the density of states at the Fermi level is 11.35 states/eV/f.u. The formation energy from the elements comes out at -1.34 eV per atom.

(14)
ScPa4P5 | PBE-GGA | relaxed

The space group is I4/m (No. 87) and the conventional cell measures 8.785, 8.785 and 5.574 Å, with angles of 90.00, 90.00 and 90.00 degrees. Symmetry generates all atoms from Sc at (0.000, 0.000, 0.000), Pa at (0.099, 0.300, 0.500), P at (0.000, 0.000, 0.500) and P at (0.098, 0.292, 0.000).

The value obtained for the electronic total energy is -8.482 eV/atom. The calculation puts the spin magnetization at 0.0000 μB/atom. The value obtained for the density of states at the Fermi level is 10.01 states/eV/f.u. The formation energy from the elements comes out at -1.35 eV per atom.

(15)
ScPa4P6 | PBE-GGA | relaxed

The space group is R-3c (No. 167, hexagonal axes) and the conventional cell measures 10.7804, 10.7804 and 13.4132 Å, with angles of 90.00, 90.00 and 120.00 degrees. Symmetry generates all atoms from Sc at (0.0000, 0.0000, 0.0000), Pa at (0.0000, 0.0000, 0.2500), Pa at (0.0000, 0.3828, 0.2500) and P at (0.0289, 0.2055, 0.3879).

The value obtained for the electronic total energy is -8.145 eV/atom. The calculation puts the spin magnetization at 0.0000 μB/atom. The value obtained for the density of states at the Fermi level is 12.39 states/eV/f.u. The formation energy from the elements comes out at -1.17 eV per atom.

(16)
ScPa2P3 | PBE-GGA | relaxed

The space group is Immm (No. 71) and the conventional cell measures 3.894, 5.551 and 11.713 Å, with angles of 90.00, 90.00 and 90.00 degrees. Symmetry generates all atoms from Sc at (0.000, 0.000, 0.000), Pa at (0.000, 0.000, 0.332), P at (0.000, 0.500, 0.000) and P at (0.000, 0.500, 0.340).

The value obtained for the electronic total energy is -8.282 eV/atom. The calculation puts the spin magnetization at 0.0000 μB/atom. The value obtained for the density of states at the Fermi level is 6.99 states/eV/f.u. The formation energy from the elements comes out at -1.36 eV per atom.

(17)
Sc2PaP | PBE-GGA | relaxed

The space group is R-3m (No. 166, hexagonal axes) and the conventional cell measures 3.4683, 3.4683 and 25.4963 Å, with angles of 90.00, 90.00 and 120.00 degrees. Symmetry generates all atoms from Sc at (0.0000, 0.0000, 0.2294), Pa at (0.0000, 0.0000, 0.0000) and P at (0.0000, 0.0000, 0.5000).

The value obtained for the electronic total energy is -7.405 eV/atom. The calculation puts the spin magnetization at 0.0000 μB/atom. The value obtained for the density of states at the Fermi level is 4.36 states/eV/f.u. The formation energy from the elements comes out at -0.51 eV per atom.

(18)
ScPaP | PBE-GGA | relaxed

The space group is Cmcm (No. 63) and the conventional cell measures 3.361, 22.242 and 3.359 Å, with angles of 90.00, 90.00 and 90.00 degrees. Symmetry generates all atoms from Sc at (0.000, 0.199, 0.250), Pa at (0.000, 0.062, 0.250) and P at (0.000, 0.365, 0.250).

The value obtained for the electronic total energy is -7.636 eV/atom. The calculation puts the spin magnetization at 0.1077 μB/atom. The value obtained for the density of states at the Fermi level is 4.46 states/eV/f.u. The formation energy from the elements comes out at -0.56 eV per atom. As for the energy above the most stable polymorph in this dataset: 0 meV/atom.

(19)
ScPa2P3 | PBE-GGA | relaxed

The space group is I4/mmm (No. 139) and the conventional cell measures 3.923, 3.923 and 16.514 Å, with angles of 90.00, 90.00 and 90.00 degrees. Symmetry generates all atoms from Sc at (0.000, 0.000, 0.000), Pa at (0.000, 0.000, 0.334), P at (0.000, 0.000, 0.162) and P at (0.000, 0.000, 0.500).

The value obtained for the electronic total energy is -8.283 eV/atom. The calculation puts the spin magnetization at 0.0000 μB/atom. The value obtained for the density of states at the Fermi level is 6.41 states/eV/f.u. The formation energy from the elements comes out at -1.36 eV per atom.

(20)
ScPa3P4 | PBE-GGA | relaxed

The space group is P2/c (No. 13) and the conventional cell measures 6.786, 7.863 and 6.791 Å, with angles of 90.00, 109.62 and 90.00 degrees. Symmetry generates all atoms from Sc at (0.000, 0.124, 0.250), Pa at (0.000, 0.374, 0.750), Pa at (0.500, 0.125, 0.750), Pa at (0.500, 0.375, 0.250), P at (0.241, 0.119, 0.000) and P at (0.244, 0.369, 0.494).

The value obtained for the electronic total energy is -8.406 eV/atom. The calculation puts the spin magnetization at 0.0000 μB/atom. The value obtained for the density of states at the Fermi level is 8.54 states/eV/f.u. The formation energy from the elements comes out at -1.35 eV per atom.